Entry 1:
# Zr2TlC, optimized geometry, DFT PBEsol
# * formation enthalpy at 0 K: -0.724 eV/atom
# * D(E_F): 1.4 states/eV/f.u.
# * SG: P6_3/mmc, No. 194
# * size of the total moment: 0.0 μB per cell
data_Zr2TlC
_cell_length_a 3.347
_cell_length_b 3.347
_cell_length_c 14.905
_cell_angle_alpha 90.00
_cell_angle_beta 90.00
_cell_angle_gamma 120.00
_space_group_name_H-M_alt 'P 1'
_space_group_IT_number 1
loop_
_space_group_symop_operation_xyz
'x,y,z'
loop_
_atom_site_label
_atom_site_type_symbol
_atom_site_fract_x
_atom_site_fract_y
_atom_site_fract_z
C1 C 0.000 0.000 0.500
C2 C 0.000 0.000 0.000
Zr1 Zr 0.667 0.333 0.582
Zr2 Zr 0.333 0.667 0.418
Zr3 Zr 0.333 0.667 0.082
Zr4 Zr 0.667 0.333 0.918
Tl1 Tl 0.667 0.333 0.250
Tl2 Tl 0.333 0.667 0.750

---

Entry 2:
# Mn2Co21B6, optimized geometry, DFT PBEsol
# * formation enthalpy at 0 K: -0.197 eV/atom
# * D(E_F): 43.3 states/eV/f.u.
# * SG: Fm-3m, No. 225
# * size of the total moment: 24.4 μB per cell
data_Mn2Co21B6
_cell_length_a 7.252
_cell_length_b 7.252
_cell_length_c 7.252
_cell_angle_alpha 60.00
_cell_angle_beta 60.00
_cell_angle_gamma 60.00
_space_group_name_H-M_alt 'P 1'
_space_group_IT_number 1
loop_
_space_group_symop_operation_xyz
'x,y,z'
loop_
_atom_site_label
_atom_site_type_symbol
_atom_site_fract_x
_atom_site_fract_y
_atom_site_fract_z
Co1 Co 0.000 0.338 0.000
Co2 Co 0.380 0.380 0.860
Co3 Co 0.000 0.662 0.338
Co4 Co 0.000 0.000 0.000
Co5 Co 0.662 0.000 0.000
Co6 Co 0.000 0.338 0.662
Co7 Co 0.620 0.140 0.620
Co8 Co 0.662 0.000 0.338
Co9 Co 0.000 0.000 0.338
Co10 Co 0.662 0.338 0.000
Co11 Co 0.338 0.662 0.000
Co12 Co 0.380 0.860 0.380
Co13 Co 0.620 0.620 0.140
Co14 Co 0.140 0.620 0.620
Co15 Co 0.338 0.000 0.662
Co16 Co 0.000 0.662 0.000
Co17 Co 0.380 0.380 0.380
Co18 Co 0.000 0.000 0.662
Co19 Co 0.338 0.000 0.000
Co20 Co 0.620 0.620 0.620
Co21 Co 0.860 0.380 0.380
Mn1 Mn 0.250 0.250 0.250
Mn2 Mn 0.750 0.750 0.750
B1 B 0.724 0.724 0.276
B2 B 0.724 0.276 0.724
B3 B 0.724 0.276 0.276
B4 B 0.276 0.724 0.276
B5 B 0.276 0.276 0.724
B6 B 0.276 0.724 0.724

---

Entry 3:
# TlSb2Os, optimized geometry, DFT PBEsol
# * E above lowest polymorph: 2.76 eV per formula unit
# * raw formation energy: 900 meV per atom
# * D(E_F): 3.6 states/eV/f.u.
# * SG: P4/mmm, No. 123
# * size of the total moment: 0.0 μB per cell
data_TlSb2Os
_cell_length_a 4.300
_cell_length_b 4.300
_cell_length_c 4.644
_cell_angle_alpha 90.00
_cell_angle_beta 90.00
_cell_angle_gamma 90.00
_space_group_name_H-M_alt 'P 1'
_space_group_IT_number 1
loop_
_space_group_symop_operation_xyz
'x,y,z'
loop_
_atom_site_label
_atom_site_type_symbol
_atom_site_fract_x
_atom_site_fract_y
_atom_site_fract_z
Os1 Os 0.000 0.000 0.500
Tl1 Tl 0.500 0.500 0.500
Sb1 Sb 0.000 0.500 0.000
Sb2 Sb 0.500 0.000 0.000

---

Entry 4:
# Ta2Ge2Pt, optimized geometry, DFT PBEsol
# * formation enthalpy at 0 K: -0.015 eV/atom
# * D(E_F): 4.8 states/eV/f.u.
# * SG: I4/mmm, No. 139
# * size of the total moment: 0.0 μB per cell
data_Ta2Ge2Pt
_cell_length_a 3.458
_cell_length_b 3.458
_cell_length_c 7.495
_cell_angle_alpha 103.34
_cell_angle_beta 103.34
_cell_angle_gamma 90.00
_space_group_name_H-M_alt 'P 1'
_space_group_IT_number 1
loop_
_space_group_symop_operation_xyz
'x,y,z'
loop_
_atom_site_label
_atom_site_type_symbol
_atom_site_fract_x
_atom_site_fract_y
_atom_site_fract_z
Ge1 Ge 0.250 0.750 0.500
Ge2 Ge 0.750 0.250 0.500
Ta1 Ta 0.398 0.398 0.796
Ta2 Ta 0.602 0.602 0.204
Pt1 Pt 0.000 0.000 0.000